! YVO3 | Alexandria via LeMat-Bulk | GGA+U | relaxed; values from VASP
&SYSTEM
  ibrav = 0, nat = 20, ntyp = 3
/
ATOMIC_SPECIES
O 16.00 O.upf
Y 88.91 Y.upf
V 50.94 V.upf
ATOMIC_POSITIONS crystal
O 0.805 0.189 0.441
O 0.695 0.689 0.441
O 0.305 0.311 0.941
O 0.118 0.547 0.250
O 0.805 0.189 0.059
O 0.882 0.453 0.750
O 0.305 0.311 0.559
O 0.382 0.047 0.250
O 0.695 0.689 0.059
O 0.195 0.811 0.559
O 0.195 0.811 0.941
O 0.618 0.953 0.750
Y 0.020 0.070 0.750
Y 0.480 0.570 0.750
Y 0.980 0.930 0.250
Y 0.520 0.430 0.250
V 0.500 0.000 0.500
V 0.000 0.500 0.000
V 0.500 0.000 0.000
V 0.000 0.500 0.500
CELL_PARAMETERS angstrom
5.342 0.000 0.000
0.000 5.747 0.000
0.000 0.000 7.661
! **Density**: 5305 kg/m3
! **Electronic total energy**: -8.60 eV per atom
! **Space group**: Pnma, No. 62
! **V**: 58.80 Å³/f.u.